(1)
RhBrO: optimized geometry, GGA-PBE.

Structure (POSCAR):
```
RhBrO
1.0
4.259 1.164 -3.311
3.201 4.489 -3.505
-6.224 -3.627 14.987
Br Rh O
2 2 2
Cartesian
3.511 3.875 -0.078
-1.861 -0.871 10.927
-3.281 -1.439 8.990
-0.864 -0.696 8.474
-0.597 -0.718 6.618
-0.854 1.161 8.772
```

Computed properties:
**Calculated total energy**: -4.77 eV/atom
**Size of the total moment**: 1.518 μB/cell
**SG**: No. 1
**E_form (uncorrected)**: -0.113 eV/atom


(2)
RhBr2O: optimized geometry, GGA-PBE.

Structure (POSCAR):
```
RhBr2O
1.0
6.397 0.000 0.000
0.000 6.397 0.000
3.199 3.199 3.890
Br Rh O
4 2 2
Cartesian
4.830 1.599 0.972
7.996 8.029 2.917
1.567 4.798 0.972
4.798 4.765 2.917
6.397 3.199 1.945
0.000 0.000 0.000
3.199 3.199 0.000
3.199 6.397 1.945
```

Computed properties:
**Calculated total energy**: -3.30 eV/atom
**Size of the total moment**: 0.001 μB/cell
**SG**: No. 122
**E_form (uncorrected)**: 0.617 eV/atom


(3)
Rh3BrO: optimized geometry, GGA-PBE.

Structure (POSCAR):
```
Rh3BrO
1.0
4.633 0.000 0.000
0.000 4.633 0.000
0.000 0.000 4.633
Rh O Br
3 1 1
Cartesian
0.000 2.317 0.000
2.317 0.000 0.000
0.000 0.000 2.317
2.317 2.317 2.317
0.000 0.000 0.000
```

Computed properties:
**Calculated total energy**: -4.16 eV/atom
**Size of the total moment**: 3.418 μB/cell
**SG**: No. 221
**E_form (uncorrected)**: 1.581 eV/atom


(4)
RhBrO2: optimized geometry, GGA-PBE.

Structure (POSCAR):
```
RhBrO2
1.0
1.879 0.000 5.961
-0.939 1.627 5.961
-0.939 -1.627 5.961
Rh O Br
1 2 1
Cartesian
0.000 0.000 8.942
0.000 0.000 15.829
0.000 0.000 2.056
0.000 0.000 0.000
```

Computed properties:
**Calculated total energy**: -5.01 eV/atom
**Size of the total moment**: 0.000 μB/cell
**SG**: No. 166
**E_form (uncorrected)**: -0.271 eV/atom


(5)
Rh3BrO: optimized geometry, GGA-PBE.

Structure (POSCAR):
```
Rh3BrO
1.0
4.244 0.000 0.000
0.000 4.244 0.000
0.000 0.000 4.244
O Rh Br
1 3 1
Cartesian
0.000 0.000 0.000
0.000 0.000 2.122
0.000 2.122 0.000
2.122 0.000 0.000
2.122 2.122 2.122
```

Computed properties:
**Calculated total energy**: -5.18 eV/atom
**Size of the total moment**: 2.564 μB/cell
**SG**: No. 221
**E_form (uncorrected)**: 0.561 eV/atom


(6)
RhBr2O: optimized geometry, GGA-PBE.

Structure (POSCAR):
```
RhBr2O
1.0
2.588 4.871 4.526
5.174 2.050 4.465
5.131 4.667 1.673
Br Rh O
2 1 1
Cartesian
1.293 1.162 1.069
11.601 10.426 9.595
6.447 5.794 5.332
0.000 0.000 0.000
```

Computed properties:
**Calculated total energy**: -3.59 eV/atom
**Size of the total moment**: 0.000 μB/cell
**SG**: No. 166
**E_form (uncorrected)**: 0.320 eV/atom


(7)
Rh2BrO: optimized geometry, GGA-PBE.

Structure (POSCAR):
```
Rh2BrO
1.0
-2.743 -2.945 1.381
-3.219 1.119 2.549
-3.993 -0.045 -1.471
Br O Rh
1 1 2
Cartesian
-4.977 -0.935 1.229
0.000 0.000 0.000
-7.466 -1.403 1.844
-2.489 -0.468 0.615
```

Computed properties:
**Calculated total energy**: -4.74 eV/atom
**Size of the total moment**: 0.695 μB/cell
**SG**: No. 225
**E_form (uncorrected)**: 0.598 eV/atom


(8)
RhBrO2: optimized geometry, GGA-PBE.

Structure (POSCAR):
```
RhBrO2
1.0
-7.042 -1.501 5.138
-5.341 -3.776 5.955
-4.980 -1.131 7.223
Rh O Br
1 2 1
Cartesian
0.000 0.000 0.000
-16.208 -5.981 17.096
-1.156 -0.427 1.219
-8.682 -3.204 9.158
```

Computed properties:
**Calculated total energy**: -4.43 eV/atom
**Size of the total moment**: 0.000 μB/cell
**SG**: No. 166
**E_form (uncorrected)**: 0.305 eV/atom


(9)
Rh2BrO: optimized geometry, GGA-PBE.

Structure (POSCAR):
```
Rh2BrO
1.0
4.779 0.000 0.000
0.000 4.779 0.000
2.390 2.390 6.187
Rh Br O
4 2 2
Cartesian
3.584 4.216 4.641
1.827 3.584 1.547
2.952 1.195 1.547
5.974 5.342 4.641
4.779 2.390 3.094
0.000 0.000 0.000
2.390 4.779 3.094
2.390 2.390 0.000
```

Computed properties:
**Calculated total energy**: -5.22 eV/atom
**Size of the total moment**: 0.000 μB/cell
**SG**: No. 122
**E_form (uncorrected)**: 0.109 eV/atom


(10)
Ru2RhBrO: optimized geometry, GGA-PBE.

Structure (POSCAR):
```
Ru2RhBrO
1.0
-1.418 0.971 3.490
-0.779 -5.368 1.177
3.581 -0.189 1.507
Ru Br Rh O
2 1 1 1
Cartesian
1.790 -0.095 0.754
-0.709 0.485 1.745
-0.390 -2.684 0.588
0.692 -2.293 3.087
0.000 0.000 0.000
```

Computed properties:
**Calculated total energy**: -5.82 eV/atom
**Size of the total moment**: 3.716 μB/cell
**SG**: No. 123
**E_form (uncorrected)**: 0.689 eV/atom


(11)
RhS2BrO8: optimized geometry, GGA-PBE.

Structure (POSCAR):
```
RhS2BrO8
1.0
4.772 -0.149 0.738
2.069 4.302 0.738
1.456 0.884 9.241
O S Br Rh
8 2 1 1
Cartesian
5.100 3.096 1.431
4.255 4.000 8.510
2.784 3.108 2.206
4.042 1.037 2.206
3.773 2.291 6.867
4.523 2.746 3.849
3.197 1.941 9.284
5.512 1.929 8.510
4.126 2.505 8.249
4.171 2.532 2.467
0.728 0.442 4.620
0.000 0.000 0.000
```

Computed properties:
**Calculated total energy**: -5.56 eV/atom
**Size of the total moment**: 1.859 μB/cell
**SG**: No. 12
**E_form (uncorrected)**: -0.813 eV/atom


(12)
Sr2RhBr2O2: optimized geometry, GGA-PBE.

Structure (POSCAR):
```
Sr2RhBr2O2
1.0
-3.298 -0.491 -2.261
0.258 -3.990 0.490
-4.072 2.863 8.906
Rh O Br Sr
1 2 2 2
Cartesian
0.000 0.000 0.000
-1.649 -0.246 -1.130
0.129 -1.995 0.245
-1.924 0.214 2.759
-5.187 -1.832 4.376
-4.553 0.507 6.532
-2.558 -2.125 0.604
```

Computed properties:
**Calculated total energy**: -5.21 eV/atom
**Size of the total moment**: 0.979 μB/cell
**SG**: No. 139
**E_form (uncorrected)**: -1.782 eV/atom


(13)
TiRhBrO2: optimized geometry, GGA-PBE.

Structure (POSCAR):
```
TiRhBrO2
1.0
-2.295 0.523 -2.947
2.902 -3.883 -2.950
-2.288 -2.700 1.303
O Rh Ti Br
2 1 1 1
Cartesian
-1.148 0.261 -1.473
-1.144 -1.350 0.652
-0.841 -3.030 -2.297
0.000 0.000 0.000
1.451 -1.942 -1.475
```

Computed properties:
**Calculated total energy**: -6.44 eV/atom
**Size of the total moment**: 1.362 μB/cell
**SG**: No. 123
**E_form (uncorrected)**: -1.076 eV/atom


(14)
TlRhBrO2: optimized geometry, GGA-PBE.

Structure (POSCAR):
```
TlRhBrO2
1.0
-0.582 0.351 3.993
-4.879 0.026 -0.713
-0.072 -4.035 0.345
Tl O Br Rh
1 2 1 1
Cartesian
-2.767 -1.829 1.812
-0.291 0.176 1.997
-0.036 -2.018 0.172
0.000 0.000 0.000
-2.440 0.013 -0.357
```

Computed properties:
**Calculated total energy**: -3.75 eV/atom
**Size of the total moment**: 0.000 μB/cell
**SG**: No. 123
**E_form (uncorrected)**: 0.509 eV/atom


(15)
TlRh2BrO: optimized geometry, GGA-PBE.

Structure (POSCAR):
```
TlRh2BrO
1.0
4.083 0.000 0.000
0.000 6.873 0.000
0.000 0.000 4.083
Br Tl O Rh
1 1 1 2
Cartesian
2.041 3.437 2.041
0.000 3.437 0.000
0.000 0.000 0.000
2.041 0.000 0.000
0.000 0.000 2.041
```

Computed properties:
**Calculated total energy**: -4.52 eV/atom
**Size of the total moment**: 1.531 μB/cell
**SG**: No. 123
**E_form (uncorrected)**: 0.224 eV/atom


(16)
ZrRhBrO2: optimized geometry, GGA-PBE.

Structure (POSCAR):
```
ZrRhBrO2
1.0
-3.764 -1.189 0.644
0.204 -3.398 -5.082
1.346 -3.106 2.131
O Br Rh Zr
2 1 1 1
Cartesian
0.673 -1.553 1.066
-1.882 -0.595 0.322
-1.107 -3.847 -1.153
0.102 -1.699 -2.541
0.000 0.000 0.000
```

Computed properties:
**Calculated total energy**: -6.57 eV/atom
**Size of the total moment**: 1.113 μB/cell
**SG**: No. 123
**E_form (uncorrected)**: -1.075 eV/atom


(17)
Ru2Br8O: optimized geometry, GGA-PBE.

Structure (POSCAR):
```
Ru2Br8O
1.0
3.674 0.352 1.003
0.406 9.596 3.174
-0.659 1.208 10.021
Br Ru O
8 2 1
Cartesian
0.447 4.713 5.842
0.817 8.114 10.066
2.604 3.043 4.133
2.574 7.254 3.350
1.579 9.663 6.146
1.842 1.494 8.052
0.847 3.903 10.848
2.974 6.444 8.356
0.223 9.658 11.866
3.198 1.498 2.333
0.000 0.000 0.000
```

Computed properties:
**Calculated total energy**: -3.64 eV/atom
**Size of the total moment**: 0.000 μB/cell
**SG**: No. 12
**E_form (uncorrected)**: -0.289 eV/atom


(18)
RuBr2O2: optimized geometry, GGA-PBE.

Structure (POSCAR):
```
RuBr2O2
1.0
5.132 0.000 0.000
0.000 5.132 0.000
2.566 2.566 3.605
O Ru Br
2 1 2
Cartesian
5.132 5.132 2.985
2.566 2.566 0.620
0.000 0.000 0.000
2.566 5.132 1.802
5.132 2.566 1.802
```

Computed properties:
**Calculated total energy**: -3.84 eV/atom
**Size of the total moment**: 2.000 μB/cell
**SG**: No. 139
**E_form (uncorrected)**: 0.668 eV/atom


(19)
RuBrO: optimized geometry, GGA-PBE.

Structure (POSCAR):
```
RuBrO
1.0
-0.565 5.027 -3.707
-4.633 -4.217 0.293
-3.069 3.759 5.565
Ru Br O
3 3 3
Cartesian
-3.690 5.812 3.716
-3.700 2.038 -0.272
-4.400 5.367 0.360
-5.315 0.188 -0.788
-6.125 0.776 4.900
-3.596 2.001 2.201
-3.450 5.712 1.885
-2.123 1.421 -1.017
-4.307 3.745 -0.526
```

Computed properties:
**Calculated total energy**: -5.51 eV/atom
**Size of the total moment**: 0.000 μB/cell
**SG**: No. 145
**E_form (uncorrected)**: -0.207 eV/atom


(20)
Ru2BrO8: optimized geometry, GGA-PBE.

Structure (POSCAR):
```
Ru2BrO8
1.0
6.865 0.000 0.000
-3.432 6.844 -2.938
0.000 -1.312 6.036
Ru O Br
2 8 1
Cartesian
0.000 1.922 2.799
3.432 3.610 0.299
3.432 1.954 -0.157
1.423 1.148 3.371
5.442 1.148 3.371
0.000 3.577 3.255
2.009 4.383 -0.273
-2.009 4.383 -0.273
3.432 3.710 2.087
0.000 1.822 1.011
0.000 0.000 0.000
```

Computed properties:
**Calculated total energy**: -5.92 eV/atom
**Size of the total moment**: 0.937 μB/cell
**SG**: No. 12
**E_form (uncorrected)**: -0.479 eV/atom


(21)
Ru3BrO: optimized geometry, GGA-PBE.

Structure (POSCAR):
```
Ru3BrO
1.0
4.165 0.000 0.000
0.000 4.165 0.000
0.000 0.000 4.165
Br Ru O
1 3 1
Cartesian
2.082 2.082 2.082
0.000 2.082 0.000
2.082 0.000 0.000
0.000 0.000 2.082
0.000 0.000 0.000
```

Computed properties:
**Calculated total energy**: -6.01 eV/atom
**Size of the total moment**: 0.000 μB/cell
**SG**: No. 221
**E_form (uncorrected)**: 0.881 eV/atom


(22)
RuBr2O2: optimized geometry, GGA-PBE.

Structure (POSCAR):
```
RuBr2O2
1.0
-4.151 -0.018 -3.414
2.141 -4.201 -2.581
-4.082 -5.146 4.992
O Ru Br
4 2 4
Cartesian
-0.501 -1.056 -1.498
-1.509 -3.164 -4.496
-2.578 -1.063 -3.204
0.567 -3.156 -2.790
-1.005 -2.110 -2.997
0.000 0.000 0.000
-4.794 -4.004 -1.231
-3.091 -3.265 0.925
-3.003 -6.101 -1.928
-1.299 -5.362 0.228
```

Computed properties:
**Calculated total energy**: -4.63 eV/atom
**Size of the total moment**: 0.599 μB/cell
**SG**: No. 127
**E_form (uncorrected)**: -0.118 eV/atom


(23)
Ru3BrO12: optimized geometry, GGA-PBE.

Structure (POSCAR):
```
Ru3BrO12
1.0
-1.179 -5.348 7.384
5.666 -7.084 1.497
7.250 1.519 7.981
Ru O Br
6 24 2
Cartesian
1.216 -5.776 5.187
6.479 -3.654 5.762
3.562 -4.593 1.163
-0.228 -2.002 2.585
3.393 -4.649 10.422
7.796 -8.006 9.162
4.125 -8.053 4.489
6.154 -4.252 4.188
4.181 -5.973 1.974
4.365 -4.430 9.024
9.157 -10.340 12.915
9.178 -3.341 8.695
0.919 -1.921 3.859
5.139 -2.744 6.339
6.660 -7.957 13.089
2.547 -4.695 5.122
3.977 -5.988 11.330
8.908 -7.915 10.465
3.334 -9.612 7.153
6.472 -2.099 10.396
-0.161 -4.961 5.809
7.239 -9.619 8.998
3.654 -3.226 2.196
8.135 -4.849 11.592
0.494 -1.472 1.121
8.616 -7.513 7.733
6.470 -6.956 9.459
1.761 -4.911 9.967
1.642 -7.074 6.231
6.797 -4.958 6.832
5.774 0.067 6.693
4.393 -6.909 7.143
```

Computed properties:
**Calculated total energy**: -6.07 eV/atom
**Size of the total moment**: 2.017 μB/cell
**SG**: No. 161
**E_form (uncorrected)**: -0.504 eV/atom


(24)
RuS2BrO8: optimized geometry, GGA-PBE.

Structure (POSCAR):
```
RuS2BrO8
1.0
4.777 -0.161 0.748
2.061 4.313 0.748
1.480 0.899 9.551
O Br Ru S
8 1 1 2
Cartesian
3.800 2.307 7.172
4.264 4.009 8.846
2.794 3.117 2.201
4.054 1.041 2.201
5.524 1.934 8.846
5.119 3.108 1.472
3.199 1.942 9.575
4.518 2.743 3.875
0.740 0.449 4.776
0.000 0.000 0.000
4.166 2.530 2.504
4.151 2.521 8.543
```

Computed properties:
**Calculated total energy**: -5.76 eV/atom
**Size of the total moment**: 3.022 μB/cell
**SG**: No. 12
**E_form (uncorrected)**: -0.857 eV/atom


(25)
RuSeBr2O: optimized geometry, GGA-PBE.

Structure (POSCAR):
```
RuSeBr2O
1.0
5.196 0.000 0.000
0.000 5.196 0.000
0.000 0.000 4.633
Br Se O Ru
2 1 1 1
Cartesian
0.000 2.598 0.000
2.598 0.000 0.000
0.000 0.000 2.316
2.598 2.598 2.316
0.000 0.000 0.000
```

Computed properties:
**Calculated total energy**: -3.51 eV/atom
**Size of the total moment**: 1.445 μB/cell
**SG**: No. 123
**E_form (uncorrected)**: 0.707 eV/atom